Record 1
First-principles (PBE-GGA) data for a geometry-optimized RuI2N6 structure, as listed in Alexandria via LeMat-Bulk.

Values from the calculation:
Final energy = -0.3732 Ry per atom
Excess energy over the best structure of this formula in the dataset = 0.0 meV/atom
Calculated density = 4.960 g/cm3
Symmetry = P1, No. 1
Formation energy from raw total energies = 1.85 eV/atom
Volume = 147 Å³ per cell

a b c (Å): 5.532 5.533 6.191
angles (deg): 63.49 63.49 90.00
Fractional positions:
Ru: 0.000 0.000 0.000
I: 0.330 0.831 0.339
I: 0.831 0.330 0.339
N: 0.160 0.690 0.150
N: 0.161 0.161 0.150
N: 0.176 0.176 0.647
N: 0.638 0.639 0.728
N: 0.690 0.160 0.150
N: 0.690 0.690 0.150


Record 2
First-principles (PBE-GGA) data for a geometry-optimized K2MgGe3Au12 structure, as listed in Alexandria via LeMat-Bulk.

Values from the calculation:
Calculated formation energy = -0.08 eV/f.u.
Final energy = -0.2329 Ry per atom
Calculated density = 9.459 g/cm3
Symmetry = R-3m, No. 166
Volume = 471 Å³ per cell

a b c (Å): 8.423 8.423 8.423
angles (deg): 65.28 65.28 65.28
Fractional positions:
K: 0.098 0.098 0.098
K: 0.902 0.902 0.902
Mg: 0.500 0.500 0.500
Ge: 0.000 0.500 0.500
Ge: 0.500 0.000 0.500
Ge: 0.500 0.500 0.000
Au: 0.144 0.629 0.629
Au: 0.163 0.163 0.503
Au: 0.163 0.503 0.163
Au: 0.371 0.371 0.856
Au: 0.371 0.856 0.371
Au: 0.497 0.837 0.837
Au: 0.503 0.163 0.163
Au: 0.629 0.144 0.629
Au: 0.629 0.629 0.144
Au: 0.837 0.497 0.837
Au: 0.837 0.837 0.497
Au: 0.856 0.371 0.371


Record 3
First-principles (PBE-GGA) data for a geometry-optimized K2AcBi2O7 structure, as listed in Alexandria via LeMat-Bulk.

Values from the calculation:
Final energy = -0.4210 Ry per atom
Calculated density = 6.582 g/cm3
Symmetry = I4/mmm, No. 139
Formation energy from raw total energies = -1.66 eV/atom
Volume = 211 Å³ per cell

a b c (Å): 11.802 11.802 11.802
angles (deg): 159.02 159.02 29.85
Fractional positions:
K: 0.196 0.196 0.000
K: 0.804 0.804 0.000
Ac: 0.000 0.000 0.000
Bi: 0.401 0.401 0.000
Bi: 0.599 0.599 0.000
O: 0.078 0.578 0.500
O: 0.311 0.311 0.000
O: 0.422 0.922 0.500
O: 0.500 0.500 0.000
O: 0.578 0.078 0.500
O: 0.689 0.689 0.000
O: 0.922 0.422 0.500